The following is a DFT calculation (PBE) of a relaxed ScSbAsSe2 crystal.

Computed properties:
space-group type = P4/mmm (123)
formation energy without anion corrections = 110 meV per atom
Fermi-level density of states = 0.8970 states/eV/atom
final energy = -4.3043 eV/atom

Unit cell a=5.1138 b=5.0986 c=5.1138 alpha=90.00 beta=90.00 gamma=90.00
Last column: nearest neighbours and their distance in Å.
Fractional positions:
Sc  0.0000  0.5000  0.0000  2 As 2.55
Sb  0.5000  0.5000  0.5000  8 Se 3.61, 4 Sc 3.62
As  0.0000  0.0000  0.0000  2 Sc 2.55, 4 Se 2.56
Se  0.0000  0.0000  0.5000  2 As 2.56
Se  0.5000  0.0000  0.0000  2 As 2.56